The following is a DFT calculation (GGA+U) of CoP2RuO after structural relaxation.

Unit cell a=4.752 b=4.752 c=3.650 alpha=90.00 beta=90.00 gamma=90.00
Sites, in units of the cell vectors:
Ru1 0.000 0.000 0.000
Co1 0.500 0.500 0.500
O1 0.000 0.000 0.500
P1 0.000 0.500 0.000
P2 0.500 0.000 0.000

The value obtained for the total energy is -5.552 eV per atom. The value obtained for the density of states at the Fermi level is 1.113 states/eV/atom. Its space group is P4/mmm (123). As for the volume: 82.42 Å³/cell.